# CaIrSe2

A geometry-optimized CaIrSe2 structure (PBE, the Alexandria database).

Calculated values
Energy above the most stable polymorph in this dataset, meV per atom: 276
Density of states at the Fermi level, states/eV/f.u.: 2.69
Uncorrected formation energy, eV per atom: -0.4683

Cell: 4.771 4.771 3.286 Å, 90.00 90.00 90.00°
Space group P4/mmm (No. 123)
Unique sites:
Ca  0.000  0.000  0.000 x1
Ir  0.500  0.500  0.000 x1
Se  0.000  0.500  0.500 x2

# ScAlGa

A geometry-optimized ScAlGa structure (PBE, the Alexandria database).

Calculated values
Density of states at the Fermi level, states/eV/f.u.: 1.38
E_form, eV/f.u.: -1.552

Cell: 4.433 3.219 7.596 Å, 90.00 90.00 90.00°
Space group Pmma (No. 51)
Unique sites:
Sc  0.250  0.000  0.247 x2
Al  0.250  0.500  0.583 x2
Ga  0.250  0.500  0.916 x2